Entry a
Here is an optimized crystal structure of Tc4C3 from Alexandria. Energies are from PBE.

extended XYZ file:
```
7
Lattice="4.420 0.000 0.000 -2.210 3.828 0.000 0.000 0.000 4.717" Properties=species:S:1:pos:R:3 pbc="T T T"
Tc 0.000 0.000 1.176
Tc 0.000 0.000 3.542
Tc 0.000 2.552 2.359
Tc 2.210 1.276 2.359
C -1.105 1.914 0.000
C 2.210 0.000 0.000
C 1.105 1.914 0.000
```

=====

Entry b
Here is an optimized crystal structure of Tc4C3 from Alexandria. Energies are from PBE.

extended XYZ file:
```
7
Lattice="4.463 0.000 0.000 0.000 4.463 0.000 0.000 0.000 4.463" Properties=species:S:1:pos:R:3 pbc="T T T"
Tc 1.046 1.046 3.416
Tc 1.046 3.416 1.046
Tc 3.416 1.046 1.046
Tc 3.416 3.416 3.416
C 0.000 2.231 2.231
C 2.231 0.000 2.231
C 2.231 2.231 0.000
```

=====

Entry c
Here is an optimized crystal structure of Tc4C3 from Alexandria. Energies are from PBE.

extended XYZ file:
```
7
Lattice="-1.397 1.397 9.547 1.397 -1.397 9.547 1.397 1.397 -9.547" Properties=species:S:1:pos:R:3 pbc="T T T"
Tc 0.000 0.000 1.262
Tc 0.000 0.000 6.244
Tc 0.000 0.000 12.850
Tc 0.000 0.000 17.831
C 0.000 0.000 4.033
C 0.000 0.000 9.547
C 0.000 0.000 15.060
```

=====

Entry d
Here is an optimized crystal structure of Tc4C3 from Alexandria. Energies are from PBE.

extended XYZ file:
```
7
Lattice="4.255 0.000 0.000 0.000 4.255 0.000 0.000 0.000 4.255" Properties=species:S:1:pos:R:3 pbc="T T T"
Tc 0.000 0.000 0.000
Tc 0.000 2.127 2.127
Tc 2.127 0.000 2.127
Tc 2.127 2.127 0.000
C 0.000 0.000 2.127
C 0.000 2.127 0.000
C 2.127 0.000 0.000
```

=====

The data favor entry d; the next most stable structure lies 61 meV per atom above it.

=====

Entry a
Here is an optimized crystal structure of Tc3C4 from Alexandria. Energies are from PBE.

extended XYZ file:
```
7
Lattice="4.229 0.000 0.000 0.000 4.229 0.000 0.000 0.000 4.229" Properties=species:S:1:pos:R:3 pbc="T T T"
Tc 0.000 0.000 2.114
Tc 0.000 2.114 0.000
Tc 2.114 0.000 0.000
C 0.000 0.000 0.000
C 0.000 2.114 2.114
C 2.114 0.000 2.114
C 2.114 2.114 0.000
```

=====

Entry b
Here is an optimized crystal structure of Tc3C4 from Alexandria. Energies are from PBE.

extended XYZ file:
```
7
Lattice="-1.396 1.396 8.505 1.396 -1.396 8.505 1.396 1.396 -8.505" Properties=species:S:1:pos:R:3 pbc="T T T"
Tc 0.000 0.000 0.000
Tc 0.000 0.000 5.324
Tc 0.000 0.000 11.685
C 0.000 0.000 2.390
C 0.000 0.000 7.415
C 0.000 0.000 9.594
C 0.000 0.000 14.619
```

=====

The data favor entry a; the next most stable structure lies 71 meV per atom above it.

=====

Entry a
Here is an optimized crystal structure of Tc3C4 from Alexandria. Energies are from PBE.

extended XYZ file:
```
7
Lattice="4.672 0.000 0.000 0.000 4.672 0.000 0.000 0.000 4.672" Properties=species:S:1:pos:R:3 pbc="T T T"
Tc 0.000 0.000 2.336
Tc 0.000 2.336 0.000
Tc 2.336 0.000 0.000
C 1.023 1.023 1.023
C 1.023 3.649 3.649
C 3.649 1.023 3.649
C 3.649 3.649 1.023
```

=====

Entry b
Here is an optimized crystal structure of Tc3C4 from Alexandria. Energies are from PBE.

extended XYZ file:
```
7
Lattice="5.829 0.000 0.000 -2.914 5.048 0.000 0.000 0.000 2.648" Properties=species:S:1:pos:R:3 pbc="T T T"
Tc -1.457 2.524 0.000
Tc 2.914 0.000 0.000
Tc 1.457 2.524 0.000
C 0.000 0.000 0.670
C 0.000 0.000 1.979
C 0.000 3.365 1.324
C 2.914 1.683 1.324
```

=====

The data favor entry a; the next most stable structure lies 22 meV per atom above it.

=====

Entry a
Here is an optimized crystal structure of TcC4 from Alexandria. Energies are from PBE.

extended XYZ file:
```
5
Lattice="-2.363 2.363 2.363 2.363 -2.363 2.363 2.363 2.363 -2.363" Properties=species:S:1:pos:R:3 pbc="T T T"
Tc 0.000 0.000 0.000
C 1.181 1.181 -1.181
C 1.181 -1.181 1.181
C -1.181 1.181 1.181
C 1.181 1.181 1.181
```

=====

Entry b
Here is an optimized crystal structure of TcC4 from Alexandria. Energies are from PBE.

extended XYZ file:
```
5
Lattice="4.004 0.000 0.000 0.000 4.004 0.000 0.000 0.000 4.004" Properties=species:S:1:pos:R:3 pbc="T T T"
Tc 0.000 0.000 0.000
C 0.000 0.000 2.002
C 0.000 2.002 0.000
C 2.002 0.000 0.000
C 2.002 2.002 2.002
```

=====

The data favor entry a; the next most stable structure lies 478 meV per atom above it.

=====

Entry a
Here is an optimized crystal structure of TcC5 from Alexandria. Energies are from PBE.

extended XYZ file:
```
6
Lattice="0.000 2.901 2.901 2.901 0.000 2.901 2.901 2.901 0.000" Properties=species:S:1:pos:R:3 pbc="T T T"
Tc 0.000 0.000 0.000
C 2.353 2.353 2.353
C 3.450 3.450 2.353
C 3.450 2.353 3.450
C 4.352 4.352 4.352
C 2.353 3.450 3.450
```

=====

Entry b
Here is an optimized crystal structure of TcC5 from Alexandria. Energies are from PBE.

extended XYZ file:
```
6
Lattice="2.557 0.000 0.000 0.000 1.298 6.646 0.000 -1.298 6.646" Properties=species:S:1:pos:R:3 pbc="T T T"
Tc 0.000 0.000 0.000
C 0.000 0.000 4.349
C 0.000 0.000 10.095
C 1.278 0.000 1.695
C 1.278 0.000 5.263
C 1.278 0.000 9.187
```

=====

Entry c
Here is an optimized crystal structure of TcC5 from Alexandria. Energies are from PBE.

extended XYZ file:
```
6
Lattice="2.633 0.000 0.000 0.000 1.362 6.793 0.000 -1.362 6.793" Properties=species:S:1:pos:R:3 pbc="T T T"
Tc 0.000 0.000 0.000
C 0.000 0.000 5.116
C 0.000 0.000 9.362
C 1.316 0.000 4.315
C 1.316 0.000 7.477
C 1.316 0.000 10.127
```

=====

Entry d
Here is an optimized crystal structure of TcC5 from Alexandria. Energies are from PBE.

extended XYZ file:
```
6
Lattice="3.420 -1.331 0.000 3.420 1.331 0.000 -0.174 0.000 5.570" Properties=species:S:1:pos:R:3 pbc="T T T"
Tc 0.000 0.000 0.000
C 1.137 0.000 3.666
C 2.560 0.000 3.952
C 3.853 0.000 3.126
C 3.923 0.000 1.644
C 4.925 0.000 0.730
```

=====

The data favor entry b; the next most stable structure lies 121 meV per atom above it.

=====

Entry a
Here is an optimized crystal structure of Tc4C5 from Alexandria. Energies are from PBE.

extended XYZ file:
```
18
Lattice="5.905 0.000 0.000 -2.952 5.114 0.000 0.000 0.000 5.961" Properties=species:S:1:pos:R:3 pbc="T T T"
Tc 0.000 0.000 0.000
Tc 0.000 0.000 2.980
Tc -1.181 2.045 1.490
Tc -1.771 3.068 4.471
Tc 2.362 0.000 1.490
Tc 1.181 2.045 4.471
Tc 3.543 0.000 4.471
Tc 1.771 3.068 1.490
C -0.754 1.306 4.471
C -2.198 3.808 1.490
C 1.508 0.000 4.471
C 0.754 1.306 1.490
C 0.000 3.409 0.000
C 0.000 3.409 2.980
C 2.952 1.705 0.000
C 2.952 1.705 2.980
C 4.397 0.000 1.490
C 2.198 3.808 4.471
```

=====

Entry b
Here is an optimized crystal structure of Tc4C5 from Alexandria. Energies are from PBE.

extended XYZ file:
```
9
Lattice="-4.098 4.098 1.373 4.098 -4.098 1.373 4.098 4.098 -1.373" Properties=species:S:1:pos:R:3 pbc="T T T"
Tc 2.006 0.000 0.000
Tc 6.191 0.000 0.000
Tc 0.000 2.006 0.000
Tc 0.000 6.191 0.000
C 0.000 0.000 0.000
C 2.333 2.333 0.000
C 1.765 -1.765 1.373
C -1.765 1.765 1.373
C 1.765 1.765 1.373
```

=====

The data favor entry a; the next most stable structure lies 113 meV per atom above it.

=====

Entry a
Here is an optimized crystal structure of Tc3C5 from Alexandria. Energies are from PBE.

extended XYZ file:
```
8
Lattice="2.822 -3.266 0.000 2.822 3.266 0.000 0.000 0.000 3.959" Properties=species:S:1:pos:R:3 pbc="T T T"
Tc 0.000 0.000 0.000
Tc 2.822 1.407 1.980
Tc 2.822 -1.407 1.980
C 1.411 1.633 0.000
C 1.058 0.000 1.980
C 1.411 -1.633 0.000
C 2.822 0.000 0.000
C 4.587 0.000 1.980
```

=====

Entry b
Here is an optimized crystal structure of Tc3C5 from Alexandria. Energies are from PBE.

extended XYZ file:
```
16
Lattice="3.084 -5.340 0.000 3.084 5.340 0.000 -2.209 0.000 5.140" Properties=species:S:1:pos:R:3 pbc="T T T"
Tc 0.000 0.000 0.000
Tc 0.180 0.000 2.673
Tc 1.798 2.200 3.775
Tc 3.190 1.388 1.371
Tc 3.190 -1.388 1.371
Tc 1.798 -2.200 3.775
C 0.825 1.954 1.899
C 3.824 3.304 0.493
C 1.658 0.000 1.254
C 0.841 0.694 4.586
C 0.825 -1.954 1.899
C 0.841 -0.694 4.586
C 3.114 0.713 3.363
C 3.114 -0.713 3.363
C 4.793 0.000 1.440
C 3.824 -3.304 0.493
```

=====

Entry c
Here is an optimized crystal structure of Tc3C5 from Alexandria. Energies are from PBE.

extended XYZ file:
```
8
Lattice="2.748 0.000 0.000 0.000 2.748 0.000 0.000 0.000 9.379" Properties=species:S:1:pos:R:3 pbc="T T T"
Tc 0.000 0.000 0.000
Tc 1.374 1.374 3.246
Tc 1.374 1.374 6.133
C 0.000 0.000 2.283
C 0.000 0.000 4.689
C 0.000 0.000 7.096
C 1.374 1.374 1.124
C 1.374 1.374 8.255
```

=====

Entry d
Here is an optimized crystal structure of Tc3C5 from Alexandria. Energies are from PBE.

extended XYZ file:
```
16
Lattice="5.701 0.000 0.000 -2.850 4.937 0.000 0.000 0.000 5.743" Properties=species:S:1:pos:R:3 pbc="T T T"
Tc -1.387 2.402 1.436
Tc -1.463 2.535 4.307
Tc 2.774 0.000 1.436
Tc 1.387 2.402 4.307
Tc 2.927 0.000 4.307
Tc 1.463 2.535 1.436
C -0.412 0.714 1.436
C -2.438 4.223 4.307
C 0.824 0.000 1.436
C 0.412 0.714 4.307
C 0.000 3.291 0.000
C 0.000 3.291 2.872
C 2.850 1.646 0.000
C 2.850 1.646 2.872
C 4.877 0.000 4.307
C 2.438 4.223 1.436
```

=====

The data favor entry d; the next most stable structure lies 241 meV per atom above it.

=====

Entry a
Here is an optimized crystal structure of Tc3TeC from Alexandria. Energies are from PBE.

extended XYZ file:
```
5
Lattice="4.154 0.000 0.000 0.000 4.154 0.000 0.000 0.000 4.154" Properties=species:S:1:pos:R:3 pbc="T T T"
Tc 0.000 0.000 2.077
Tc 0.000 2.077 0.000
Tc 2.077 0.000 0.000
Te 2.077 2.077 2.077
C 0.000 0.000 0.000
```

=====

Entry b
Here is an optimized crystal structure of Tc3TeC from Alexandria. Energies are from PBE.

extended XYZ file:
```
5
Lattice="4.856 0.000 0.000 0.000 4.856 0.000 0.000 0.000 4.856" Properties=species:S:1:pos:R:3 pbc="T T T"
Tc 0.000 0.000 2.428
Tc 0.000 2.428 0.000
Tc 2.428 0.000 0.000
Te 0.000 0.000 0.000
C 2.428 2.428 2.428
```

=====

The data favor entry a; the next most stable structure lies 2758 meV per atom above it.